Density functional theory data (GGA-PBEsol) for TaBiF3 after structural relaxation.

Lattice parameters (Å, degrees): 4.6070 4.6070 4.6070 90.00 90.00 90.00
Element x y z (fractional)
F 0.0000 0.5000 0.0000
F 0.0000 0.0000 0.5000
F 0.5000 0.0000 0.0000
Bi 0.0000 0.0000 0.0000
Ta 0.5000 0.5000 0.5000

Properties
The volume comes out at 97.8 Å³/cell. Its formation energy from raw total energies is -312 meV/atom. The space-group type is No. 221.